Cs2TeWO6 after structural relaxation. Source: Alexandria via LeMat-Bulk, functional PBE with a Hubbard U.

Output
E_tot: -5.70 eV per atom
Density of states at the Fermi level: 0.14 states/eV/f.u.

a b c (Å): 6.918 6.918 6.918
angles (deg): 130.70 130.70 72.29
Element x y z (fractional)
Cs  0.250  0.750  0.500
Cs  0.750  0.250  0.500
Te  0.000  0.000  0.000
W  0.500  0.500  0.000
O  0.254  0.254  0.508
O  0.254  0.746  0.000
O  0.332  0.332  0.000
O  0.668  0.668  0.000
O  0.746  0.254  0.000
O  0.746  0.746  0.492